Entry 1:
# Pm2Cu5Rh5 (PBE, relaxed)
# **Spin magnetization**: 0.00 μB per cell
# **Formation energy from the elements**: -3.8 eV/f.u.
# **Calculated volume**: 196.7 Å³/cell
# **N(E_F)**: 0.85 states/eV/atom
data_Pm2Cu5Rh5
_chemical_formula_sum 'Pm2 Cu5 Rh5'
_symmetry_space_group_name_H-M 'P m m m'
_symmetry_Int_Tables_number 47
_symmetry_space_group_name_Hall '-P 2 2'
_cell_length_a 4.101
_cell_length_b 5.342
_cell_length_c 8.979
_cell_angle_alpha 90.00
_cell_angle_beta 90.00
_cell_angle_gamma 90.00
loop_
_atom_site_label
_atom_site_fract_x
_atom_site_fract_y
_atom_site_fract_z
Pm1 0.000 0.000 0.000
Pm2 0.000 0.500 0.500
Cu1 0.000 0.000 0.333
Cu2 0.000 0.500 0.163
Cu3 0.500 0.500 0.000
Rh1 0.500 0.000 0.500
Rh2 0.500 0.252 0.246

***

Entry 2:
# PmCu5Rh (PBE, relaxed)
# **Spin magnetization**: 0.00 μB per cell
# **Formation energy from the elements**: -1.4 eV/f.u.
# **Calculated volume**: 418.3 Å³/cell
# **N(E_F)**: 0.49 states/eV/atom
data_PmCu5Rh
_chemical_formula_sum 'Pm4 Cu20 Rh4'
_symmetry_space_group_name_H-M 'P n m a'
_symmetry_Int_Tables_number 62
_symmetry_space_group_name_Hall '-P 2ac 2n'
_cell_length_a 8.118
_cell_length_b 5.024
_cell_length_c 10.258
_cell_angle_alpha 90.00
_cell_angle_beta 90.00
_cell_angle_gamma 90.00
loop_
_atom_site_label
_atom_site_fract_x
_atom_site_fract_y
_atom_site_fract_z
Pm1 0.236 0.250 0.067
Cu1 0.057 0.750 0.100
Cu2 0.067 0.004 0.312
Cu3 0.097 0.250 0.518
Cu4 0.184 0.250 0.753
Rh1 0.140 0.750 0.857

***

Entry 3:
# Pm3CuRh2 (PBE, relaxed)
# **Spin magnetization**: 0.00 μB per cell
# **Formation energy from the elements**: -3.4 eV/f.u.
# **Calculated volume**: 560.1 Å³/cell
# **N(E_F)**: 0.56 states/eV/atom
data_Pm3CuRh2
_chemical_formula_sum 'Pm12 Cu4 Rh8'
_symmetry_space_group_name_H-M 'P n m a'
_symmetry_Int_Tables_number 62
_symmetry_space_group_name_Hall '-P 2ac 2n'
_cell_length_a 11.690
_cell_length_b 4.124
_cell_length_c 11.618
_cell_angle_alpha 90.00
_cell_angle_beta 90.00
_cell_angle_gamma 90.00
loop_
_atom_site_label
_atom_site_fract_x
_atom_site_fract_y
_atom_site_fract_z
Pm1 0.056 0.250 0.124
Pm2 0.122 0.750 0.564
Pm3 0.204 0.250 0.813
Cu1 0.127 0.250 0.376
Rh1 0.014 0.750 0.311
Rh2 0.181 0.750 0.991

***

Entry 4:
# Pm12CuRh6 (PBE, relaxed)
# **Spin magnetization**: 0.00 μB per cell
# **Formation energy from the elements**: -8.4 eV/f.u.
# **Calculated volume**: 1656.7 Å³/cell
# **N(E_F)**: 0.76 states/eV/atom
data_Pm12CuRh6
_chemical_formula_sum 'Pm36 Cu3 Rh18'
_symmetry_space_group_name_H-M 'R -3'
_symmetry_Int_Tables_number 148
_symmetry_space_group_name_Hall '-R 3'
_cell_length_a 12.8924
_cell_length_b 12.8924
_cell_length_c 11.5091
_cell_angle_alpha 90.00
_cell_angle_beta 90.00
_cell_angle_gamma 120.00
loop_
_atom_site_label
_atom_site_fract_x
_atom_site_fract_y
_atom_site_fract_z
Pm1 0.0272 0.2134 0.3894
Pm2 0.0370 0.2088 0.8839
Cu1 0.0000 0.0000 0.0000
Rh1 0.0457 0.2634 0.6474

***

Entry 5:
# Pm3CuRh3 (PBE, relaxed)
# **Spin magnetization**: 0.00 μB per cell
# **Formation energy from the elements**: -4.3 eV/f.u.
# **Calculated volume**: 599.7 Å³/cell
# **N(E_F)**: 0.71 states/eV/atom
data_Pm3CuRh3
_chemical_formula_sum 'Pm12 Cu4 Rh12'
_symmetry_space_group_name_H-M 'C m c m'
_symmetry_Int_Tables_number 63
_symmetry_space_group_name_Hall '-C 2c 2'
_cell_length_a 4.160
_cell_length_b 10.334
_cell_length_c 13.951
_cell_angle_alpha 90.00
_cell_angle_beta 90.00
_cell_angle_gamma 90.00
loop_
_atom_site_label
_atom_site_fract_x
_atom_site_fract_y
_atom_site_fract_z
Pm1 0.000 0.023 0.250
Pm2 0.000 0.302 0.101
Cu1 0.000 0.000 0.000
Rh1 0.000 0.254 0.750
Rh2 0.000 0.411 0.589

***

Entry 6:
# Pm6CuRh5 (PBE, relaxed)
# **Spin magnetization**: 0.00 μB per cell
# **Formation energy from the elements**: -7.4 eV/f.u.
# **Calculated volume**: 263.8 Å³/cell
# **N(E_F)**: 0.54 states/eV/atom
data_Pm6CuRh5
_chemical_formula_sum 'Pm6 Cu1 Rh5'
_symmetry_space_group_name_H-M 'P 1 2/m 1'
_symmetry_Int_Tables_number 10
_symmetry_space_group_name_Hall '-P 2y'
_cell_length_a 4.969
_cell_length_b 7.115
_cell_length_c 7.855
_cell_angle_alpha 90.00
_cell_angle_beta 108.21
_cell_angle_gamma 90.00
loop_
_atom_site_label
_atom_site_fract_x
_atom_site_fract_y
_atom_site_fract_z
Pm1 0.000 0.246 0.000
Pm2 0.331 0.249 0.664
Cu1 0.500 0.500 0.000
Rh1 0.165 0.500 0.329
Rh2 0.170 0.000 0.338
Rh3 0.500 0.000 0.000

***

Entry 7:
# Pm4CuRh3 (PBE, relaxed)
# **Spin magnetization**: 0.00 μB per cell
# **Formation energy from the elements**: -4.9 eV/f.u.
# **Calculated volume**: 183.7 Å³/cell
# **N(E_F)**: 0.64 states/eV/atom
data_Pm4CuRh3
_chemical_formula_sum 'Pm4 Cu1 Rh3'
_symmetry_space_group_name_H-M 'P m m 2'
_symmetry_Int_Tables_number 25
_symmetry_space_group_name_Hall 'P 2 -2'
_cell_length_a 3.906
_cell_length_b 4.365
_cell_length_c 10.775
_cell_angle_alpha 90.00
_cell_angle_beta 90.00
_cell_angle_gamma 90.00
loop_
_atom_site_label
_atom_site_fract_x
_atom_site_fract_y
_atom_site_fract_z
Pm1 0.000 0.000 0.000
Pm2 0.000 0.500 0.273
Pm3 0.500 0.000 0.490
Pm4 0.500 0.500 0.773
Cu1 0.000 0.000 0.707
Rh1 0.000 0.500 0.562
Rh2 0.500 0.000 0.222
Rh3 0.500 0.500 0.041

***

Entry 8:
# Pm4CuRh2 (PBE, relaxed)
# **Spin magnetization**: 0.00 μB per cell
# **Formation energy from the elements**: -3.3 eV/f.u.
# **Calculated volume**: 349.3 Å³/cell
# **N(E_F)**: 0.72 states/eV/atom
data_Pm4CuRh2
_chemical_formula_sum 'Pm8 Cu2 Rh4'
_symmetry_space_group_name_H-M 'P 1'
_symmetry_Int_Tables_number 1
_symmetry_space_group_name_Hall 'P 1'
_cell_length_a 7.676
_cell_length_b 7.681
_cell_length_c 7.690
_cell_angle_alpha 110.05
_cell_angle_beta 109.18
_cell_angle_gamma 109.12
loop_
_atom_site_label
_atom_site_fract_x
_atom_site_fract_y
_atom_site_fract_z
Pm1 0.000 0.000 0.000
Pm2 0.001 0.000 0.500
Pm3 0.125 0.517 0.894
Pm4 0.378 0.895 0.772
Pm5 0.500 0.124 0.376
Pm6 0.501 0.625 0.377
Pm7 0.626 0.517 0.895
Pm8 0.879 0.394 0.272
Cu1 0.253 0.384 0.512
Cu2 0.751 0.134 0.760
Rh1 0.132 0.758 0.266
Rh2 0.369 0.259 0.005
Rh3 0.632 0.890 0.136
Rh4 0.869 0.627 0.636

***

Entry 9:
# Pm7Cu2Rh2 (PBE, relaxed)
# **Spin magnetization**: 0.00 μB per cell
# **Formation energy from the elements**: -2.1 eV/f.u.
# **Calculated volume**: 614.3 Å³/cell
# **N(E_F)**: 1.15 states/eV/atom
data_Pm7Cu2Rh2
_chemical_formula_sum 'Pm14 Cu4 Rh4'
_symmetry_space_group_name_H-M 'C m m m'
_symmetry_Int_Tables_number 65
_symmetry_space_group_name_Hall '-C 2 2'
_cell_length_a 7.667
_cell_length_b 11.186
_cell_length_c 7.162
_cell_angle_alpha 90.00
_cell_angle_beta 90.00
_cell_angle_gamma 90.00
loop_
_atom_site_label
_atom_site_fract_x
_atom_site_fract_y
_atom_site_fract_z
Pm1 0.000 0.000 0.000
Pm2 0.000 0.500 0.260
Pm3 0.250 0.250 0.268
Cu1 0.165 0.000 0.500
Rh1 0.000 0.299 0.000

***

Entry 10:
# PmCuSb2Rh4 (PBE, relaxed)
# **Energy relative to the elements, uncorrected**: -502 meV/atom
# **Spin magnetization**: 0.00 μB per cell
# **Calculated volume**: 433.1 Å³/cell
# **N(E_F)**: 0.65 states/eV/atom
data_PmCuSb2Rh4
_chemical_formula_sum 'Pm3 Cu3 Sb6 Rh12'
_symmetry_space_group_name_H-M 'R -3 m'
_symmetry_Int_Tables_number 166
_symmetry_space_group_name_Hall '-R 3 2"'
_cell_length_a 4.4070
_cell_length_b 4.4070
_cell_length_c 25.7521
_cell_angle_alpha 90.00
_cell_angle_beta 90.00
_cell_angle_gamma 120.00
loop_
_atom_site_label
_atom_site_fract_x
_atom_site_fract_y
_atom_site_fract_z
Pm1 0.0000 0.0000 0.0000
Cu1 0.0000 0.0000 0.5000
Sb1 0.0000 0.0000 0.2393
Rh1 0.0000 0.0000 0.1332
Rh2 0.0000 0.0000 0.4023

***

Entry 11:
# PmCuSbRh (PBE, relaxed)
# **Energy relative to the elements, uncorrected**: -501 meV/atom
# **Spin magnetization**: 0.00 μB per cell
# **Calculated volume**: 309.8 Å³/cell
# **N(E_F)**: 0.36 states/eV/atom
data_PmCuSbRh
_chemical_formula_sum 'Pm4 Cu4 Sb4 Rh4'
_symmetry_space_group_name_H-M 'F -4 3 m'
_symmetry_Int_Tables_number 216
_symmetry_space_group_name_Hall 'F -4 2 3'
_cell_length_a 6.766
_cell_length_b 6.766
_cell_length_c 6.766
_cell_angle_alpha 90.00
_cell_angle_beta 90.00
_cell_angle_gamma 90.00
loop_
_atom_site_label
_atom_site_fract_x
_atom_site_fract_y
_atom_site_fract_z
Pm1 0.000 0.000 0.000
Cu1 0.250 0.250 0.250
Sb1 0.000 0.000 0.500
Rh1 0.250 0.250 0.750

***

Entry 12:
# PmScCuRh (PBE, relaxed)
# **Spin magnetization**: 0.00 μB per cell
# **Formation energy from the elements**: -1.9 eV/f.u.
# **Calculated volume**: 316.9 Å³/cell
# **N(E_F)**: 0.96 states/eV/atom
data_PmScCuRh
_chemical_formula_sum 'Pm4 Sc4 Cu4 Rh4'
_symmetry_space_group_name_H-M 'F -4 3 m'
_symmetry_Int_Tables_number 216
_symmetry_space_group_name_Hall 'F -4 2 3'
_cell_length_a 6.818
_cell_length_b 6.818
_cell_length_c 6.818
_cell_angle_alpha 90.00
_cell_angle_beta 90.00
_cell_angle_gamma 90.00
loop_
_atom_site_label
_atom_site_fract_x
_atom_site_fract_y
_atom_site_fract_z
Pm1 0.000 0.000 0.000
Sc1 0.000 0.000 0.500
Cu1 0.250 0.250 0.250
Rh1 0.250 0.250 0.750